A relaxed CuSi7 crystal. Source: Alexandria via LeMat-Bulk, functional PBE.

a b c (Å): 7.6678 7.6678 7.6678
angles (deg): 90.00 90.00 90.00
Closest atoms and distances in Å follow each position.
Space group Fm-3m (No. 225)
Symmetry-distinct sites (fractional):
Cu 0.0000 0.0000 0.0000 (multiplicity 4)  12 Si 2.71
Si 0.0000 0.0000 0.5000 (multiplicity 4)  12 Si 2.71
Si 0.0000 0.2500 0.2500 (multiplicity 24)  10 Si 2.71, 2 Cu 2.71

Mass density, g/cm3: 3.83
E_form (uncorrected), eV per atom: 0.476
Electronic total energy, eV/f.u.: -38.25

A relaxed Cu6Si crystal. Source: Alexandria via LeMat-Bulk, functional PBE.

a b c (Å): 6.4126 6.4126 6.4126
angles (deg): 90.00 90.00 90.00
Closest atoms and distances in Å follow each position.
Space group Im-3m (No. 229)
Symmetry-distinct sites (fractional):
Cu 0.0000 0.2500 0.5000 (multiplicity 12)  4 Cu 2.27
Si 0.0000 0.0000 0.0000 (multiplicity 2)  24 Cu 3.58

Energy above the most stable polymorph in this dataset, kJ/mol of formula units: 718.4
Mass density, g/cm3: 5.16
E_form (uncorrected), eV per atom: 1.051
Electronic total energy, eV/f.u.: -22.64

A relaxed Cu2Si crystal. Source: Alexandria via LeMat-Bulk, functional PBE.

a b c (Å): 5.0428 8.4236 6.2382
angles (deg): 90.00 98.45 90.00
Closest atoms and distances in Å follow each position.
Space group C2/m (No. 12)
Symmetry-distinct sites (fractional):
Cu 0.0580 0.0000 0.3092 (multiplicity 4)  3 Si 2.37-2.39, 5 Cu 2.45-2.53
Cu 0.1760 0.2550 0.6842 (multiplicity 8)  3 Si 2.38-2.46, 5 Cu 2.45-2.52
Si 0.0000 0.1713 0.0000 (multiplicity 4)  6 Cu 2.38-2.45
Si 0.0000 0.5000 0.5000 (multiplicity 2)  6 Cu 2.37-2.46

Mass density, g/cm3: 5.90
E_form (uncorrected), eV per atom: 0.087
Electronic total energy, eV/f.u.: -13.36

A relaxed Cu5Si crystal. Source: Alexandria via LeMat-Bulk, functional PBE.

a b c (Å): 9.5354 2.5906 6.0801
angles (deg): 90.00 105.93 90.00
Closest atoms and distances in Å follow each position.
Space group Cm (No. 8)
Symmetry-distinct sites (fractional):
Cu 0.0000 0.0000 0.0000 (multiplicity 2)  3 Si 2.53-2.64, 9 Cu 2.55-2.59
Cu 0.0475 0.0000 0.6079 (multiplicity 2)  10 Cu 2.55-2.61, 2 Si 2.57
Cu 0.1637 0.5000 0.3332 (multiplicity 2)  11 Cu 2.55-2.61, 1 Si 2.55
Cu 0.3246 0.0000 0.6737 (multiplicity 2)  2 Si 2.52, 10 Cu 2.56-2.66
Cu 0.3820 0.0000 0.2699 (multiplicity 2)  2 Si 2.53, 10 Cu 2.57-2.66
Si 0.2158 0.5000 0.9429 (multiplicity 2)  10 Cu 2.52-2.64, 2 Si 2.59

Energy above the most stable polymorph in this dataset, kJ/mol of formula units: 18.5
Mass density, g/cm3: 7.95
E_form (uncorrected), eV per atom: -0.026
Electronic total energy, eV/f.u.: -26.06

A relaxed Cu2Si crystal. Source: Alexandria via LeMat-Bulk, functional PBE.

a b c (Å): 6.8213 6.8213 6.8213
angles (deg): 90.00 90.00 90.00
Closest atoms and distances in Å follow each position.
Space group Fd-3m (No. 227, origin choice 2)
Symmetry-distinct sites (fractional):
Cu 0.0000 0.0000 0.0000 (multiplicity 16)  6 Cu 2.41
Si 0.1250 0.1250 0.6250 (multiplicity 8)  12 Cu 2.83, 4 Si 2.95

Mass density, g/cm3: 6.49
E_form (uncorrected), eV per atom: 0.221
Electronic total energy, eV/f.u.: -12.95

A relaxed Cu4Si5 crystal. Source: Alexandria via LeMat-Bulk, functional PBE.

a b c (Å): 8.2466 8.2466 3.5515
angles (deg): 90.00 90.00 90.00
Closest atoms and distances in Å follow each position.
Space group I4/mmm (No. 139)
Symmetry-distinct sites (fractional):
Cu 0.0000 0.3388 0.0000 (multiplicity 8)  5 Cu 2.59-2.66, 7 Si 2.66-2.79
Si 0.0000 0.0000 0.0000 (multiplicity 2)  8 Si 2.70, 4 Cu 2.79
Si 0.1741 0.1741 0.5000 (multiplicity 8)  4 Si 2.51-2.70, 6 Cu 2.66-2.69

Mass density, g/cm3: 5.43
E_form (uncorrected), eV per atom: 0.254
Electronic total energy, eV/f.u.: -41.21

A relaxed Cu5Si3 crystal. Source: Alexandria via LeMat-Bulk, functional PBE.

a b c (Å): 3.2029 3.2029 9.9099
angles (deg): 90.00 90.00 90.00
Closest atoms and distances in Å follow each position.
Space group P4/mmm (No. 123)
Symmetry-distinct sites (fractional):
Cu 0.0000 0.0000 0.0000 (multiplicity 1)  2 Cu 2.47, 8 Si 2.59
Cu 0.0000 0.0000 0.2497 (multiplicity 2)  5 Cu 2.47-2.58, 5 Si 2.48-2.57
Cu 0.5000 0.5000 0.3742 (multiplicity 2)  5 Si 2.46-2.59, 5 Cu 2.49-2.58
Si 0.0000 0.0000 0.5000 (multiplicity 1)  10 Cu 2.48-2.59
Si 0.5000 0.5000 0.1264 (multiplicity 2)  9 Cu 2.46-2.59, 1 Si 2.51

Energy above the most stable polymorph in this dataset, kJ/mol of formula units: 17.6
Mass density, g/cm3: 6.57
E_form (uncorrected), eV per atom: 0.072
Electronic total energy, eV/f.u.: -36.18

A relaxed Cu6Si crystal. Source: Alexandria via LeMat-Bulk, functional PBE.

a b c (Å): 4.0856 4.0856 17.5096
angles (deg): 90.00 90.00 120.00
Closest atoms and distances in Å follow each position.
Space group R-3m (No. 166, hexagonal axes)
Symmetry-distinct sites (fractional):
Cu 0.0000 0.0000 0.0700 (multiplicity 6)  8 Cu 2.45-2.52
Cu 0.0000 0.0000 0.2128 (multiplicity 6)  3 Si 2.49, 5 Cu 2.50-2.56
Cu 0.0000 0.0000 0.3592 (multiplicity 6)  1 Si 2.47, 7 Cu 2.48-2.56
Si 0.0000 0.0000 0.5000 (multiplicity 3)  8 Cu 2.47-2.49

Energy above the most stable polymorph in this dataset, kJ/mol of formula units: 0.0
Mass density, g/cm3: 8.06
E_form (uncorrected), eV per atom: -0.013
Electronic total energy, eV/f.u.: -30.09

A relaxed Cu5Si crystal. Source: Alexandria via LeMat-Bulk, functional PBE.

a b c (Å): 4.7441 4.7441 4.1820
angles (deg): 90.00 90.00 120.00
Closest atoms and distances in Å follow each position.
Space group P6/mmm (No. 191)
Symmetry-distinct sites (fractional):
Cu 0.0000 0.5000 0.0000 (multiplicity 3)  8 Cu 2.37-2.50
Cu 0.3333 0.6667 0.5000 (multiplicity 2)  9 Cu 2.50-2.74, 3 Si 2.74
Si 0.0000 0.0000 0.5000 (multiplicity 1)  6 Cu 2.74

Energy above the most stable polymorph in this dataset, kJ/mol of formula units: 186.5
Mass density, g/cm3: 7.04
E_form (uncorrected), eV per atom: 0.265
Electronic total energy, eV/f.u.: -24.32

A relaxed Cu2Si crystal. Source: Alexandria via LeMat-Bulk, functional PBE.

a b c (Å): 3.6710 3.6710 21.9313
angles (deg): 90.00 90.00 90.00
Closest atoms and distances in Å follow each position.
Space group I4_1/amd (No. 141, origin choice 2)
Symmetry-distinct sites (fractional):
Cu 0.0000 0.2500 0.1245 (multiplicity 8)  4 Si 2.56-2.57, 8 Cu 2.60-2.62
Cu 0.0000 0.2500 0.7906 (multiplicity 8)  6 Cu 2.56-2.62, 6 Si 2.60
Si 0.0000 0.2500 0.2933 (multiplicity 8)  10 Cu 2.56-2.60, 2 Si 2.64

Mass density, g/cm3: 6.97
E_form (uncorrected), eV per atom: 0.013
Electronic total energy, eV/f.u.: -13.58

A relaxed Cu2Si crystal. Source: Alexandria via LeMat-Bulk, functional PBE.

a b c (Å): 3.6371 11.0823 3.6677
angles (deg): 90.00 90.00 90.00
Closest atoms and distances in Å follow each position.
Space group Cmmm (No. 65)
Symmetry-distinct sites (fractional):
Cu 0.0000 0.0000 0.0000 (multiplicity 2)  4 Si 2.56, 8 Cu 2.58-2.62
Cu 0.0000 0.1694 0.5000 (multiplicity 4)  6 Cu 2.55-2.62, 6 Si 2.58-2.61
Cu 0.0000 0.5000 0.5000 (multiplicity 2)  4 Si 2.57, 8 Cu 2.58-2.61
Si 0.0000 0.3371 0.0000 (multiplicity 4)  10 Cu 2.56-2.61, 2 Si 2.65

Mass density, g/cm3: 6.97
E_form (uncorrected), eV per atom: 0.007
Electronic total energy, eV/f.u.: -13.59

A relaxed Cu2Si crystal. Source: Alexandria via LeMat-Bulk, functional PBE.

a b c (Å): 2.7285 2.7285 17.5893
angles (deg): 90.00 90.00 120.00
Closest atoms and distances in Å follow each position.
Space group R-3m (No. 166, hexagonal axes)
Symmetry-distinct sites (fractional):
Cu 0.0000 0.0000 0.2242 (multiplicity 6)  3 Si 2.48, 9 Cu 2.57-2.73
Si 0.0000 0.0000 0.0000 (multiplicity 3)  6 Cu 2.48, 6 Si 2.73

Mass density, g/cm3: 6.82
E_form (uncorrected), eV per atom: 0.047
Electronic total energy, eV/f.u.: -13.47

A relaxed Cu2Si crystal. Source: Alexandria via LeMat-Bulk, functional PBE.

a b c (Å): 6.1051 6.1051 2.5672
angles (deg): 90.00 90.00 90.00
Closest atoms and distances in Å follow each position.
Space group P4_2/mnm (No. 136)
Symmetry-distinct sites (fractional):
Cu 0.2294 0.2294 0.0000 (multiplicity 4)  3 Si 2.34-2.36, 2 Cu 2.57
Si 0.0000 0.0000 0.5000 (multiplicity 2)  6 Cu 2.34-2.36, 2 Si 2.57

Mass density, g/cm3: 5.39
E_form (uncorrected), eV per atom: 0.296
Electronic total energy, eV/f.u.: -12.73

A relaxed Cu7Si crystal. Source: Alexandria via LeMat-Bulk, functional PBE.

a b c (Å): 7.2623 7.2623 7.2623
angles (deg): 90.00 90.00 90.00
Closest atoms and distances in Å follow each position.
Space group Fm-3m (No. 225)
Symmetry-distinct sites (fractional):
Cu 0.0000 0.0000 0.0000 (multiplicity 4)  12 Cu 2.57
Cu 0.0000 0.2500 0.2500 (multiplicity 24)  10 Cu 2.57, 2 Si 2.57
Si 0.0000 0.0000 0.5000 (multiplicity 4)  12 Cu 2.57

Mass density, g/cm3: 8.20
E_form (uncorrected), eV per atom: -0.026
Electronic total energy, eV/f.u.: -34.30

A relaxed Cu7Si5 crystal. Source: Alexandria via LeMat-Bulk, functional PBE.

a b c (Å): 7.5706 7.5706 5.8806
angles (deg): 90.00 90.00 90.00
Closest atoms and distances in Å follow each position.
Space group I4mm (No. 107)
Symmetry-distinct sites (fractional):
Cu 0.0000 0.0000 0.0000 (multiplicity 2)  5 Si 2.25-2.50
Cu 0.0000 0.2368 0.3206 (multiplicity 8)  5 Si 2.39-2.50, 5 Cu 2.46-2.60
Cu 0.0000 0.5000 0.0654 (multiplicity 4)  4 Cu 2.46-2.49, 4 Si 2.69
Si 0.0000 0.0000 0.6172 (multiplicity 2)  5 Cu 2.25-2.50
Si 0.2332 0.2332 0.0344 (multiplicity 8)  5 Cu 2.39-2.50

Mass density, g/cm3: 5.77
E_form (uncorrected), eV per atom: 0.168
Electronic total energy, eV/f.u.: -53.77

A relaxed Cu4Si23 crystal. Source: Alexandria via LeMat-Bulk, functional PBE.

a b c (Å): 10.1308 10.1308 10.1308
angles (deg): 90.00 90.00 90.00
Closest atoms and distances in Å follow each position.
Space group Pm-3n (No. 223)
Symmetry-distinct sites (fractional):
Cu 0.0000 0.0000 0.0000 (multiplicity 2)  20 Si 3.21-3.36
Cu 0.0000 0.2500 0.5000 (multiplicity 6)  20 Si 3.39-3.77
Si 0.0000 0.3105 0.1159 (multiplicity 24)  4 Si 2.35-2.36
Si 0.0000 0.5000 0.2500 (multiplicity 6)  4 Si 2.35
Si 0.1828 0.1828 0.1828 (multiplicity 16)  4 Si 2.36

Mass density, g/cm3: 2.88
E_form (uncorrected), eV per atom: 0.339
Electronic total energy, eV/f.u.: -131.97

A relaxed Cu2Si crystal. Source: Alexandria via LeMat-Bulk, functional PBE.

a b c (Å): 2.6148 12.9094 4.4426
angles (deg): 90.00 90.00 90.00
Closest atoms and distances in Å follow each position.
Space group Cmcm (No. 63)
Symmetry-distinct sites (fractional):
Cu 0.0000 0.0530 0.2500 (multiplicity 4)  2 Si 2.46, 10 Cu 2.59-2.72
Cu 0.0000 0.3795 0.2500 (multiplicity 4)  4 Si 2.50-2.53, 8 Cu 2.59-2.72
Si 0.0000 0.2852 0.7500 (multiplicity 4)  6 Cu 2.46-2.53, 6 Si 2.61-2.73

Mass density, g/cm3: 6.87
E_form (uncorrected), eV per atom: 0.077
Electronic total energy, eV/f.u.: -13.38

A relaxed Cu3Si5 crystal. Source: Alexandria via LeMat-Bulk, functional PBE.

a b c (Å): 7.3214 7.5039 3.9469
angles (deg): 90.00 90.00 90.00
Closest atoms and distances in Å follow each position.
Space group Cmmm (No. 65)
Symmetry-distinct sites (fractional):
Cu 0.0000 0.0000 0.0000 (multiplicity 2)  8 Si 2.62-2.69, 4 Cu 2.67
Cu 0.0000 0.2391 0.5000 (multiplicity 4)  10 Si 2.56-2.78, 2 Cu 2.67
Si 0.0000 0.5000 0.0000 (multiplicity 2)  8 Si 2.62-2.69, 4 Cu 2.78
Si 0.2497 0.0000 0.5000 (multiplicity 4)  6 Cu 2.56-2.69, 6 Si 2.69-2.72
Si 0.2500 0.2500 0.0000 (multiplicity 4)  6 Cu 2.62-2.69, 6 Si 2.62-2.72

Energy above the most stable polymorph in this dataset, kJ/mol of formula units: 89.0
Mass density, g/cm3: 5.07
E_form (uncorrected), eV per atom: 0.292
Electronic total energy, eV/f.u.: -37.07

A relaxed Cu2Si crystal. Source: Alexandria via LeMat-Bulk, functional PBE.

a b c (Å): 2.5688 2.5688 23.4664
angles (deg): 90.00 90.00 90.00
Closest atoms and distances in Å follow each position.
Space group I4_1/amd (No. 141, origin choice 2)
Symmetry-distinct sites (fractional):
Cu 0.0000 0.2500 0.2968 (multiplicity 8)  6 Cu 2.54-2.57, 4 Si 2.58
Si 0.0000 0.2500 0.8750 (multiplicity 4)  4 Si 2.57, 8 Cu 2.58

Mass density, g/cm3: 6.66
E_form (uncorrected), eV per atom: 0.165
Electronic total energy, eV/f.u.: -13.12

A relaxed Cu8Si crystal. Source: Alexandria via LeMat-Bulk, functional PBE.

a b c (Å): 7.6168 7.6168 3.7169
angles (deg): 90.00 90.00 90.00
Closest atoms and distances in Å follow each position.
Space group I4/mmm (No. 139)
Symmetry-distinct sites (fractional):
Cu 0.0000 0.3317 0.0000 (multiplicity 8)  1 Si 2.53, 11 Cu 2.55-2.60
Cu 0.1651 0.1651 0.5000 (multiplicity 8)  10 Cu 2.51-2.61, 2 Si 2.57
Si 0.0000 0.0000 0.0000 (multiplicity 2)  12 Cu 2.53-2.57

Mass density, g/cm3: 8.26
E_form (uncorrected), eV per atom: -0.027
Electronic total energy, eV/f.u.: -38.43

A relaxed Cu5Si4 crystal. Source: Alexandria via LeMat-Bulk, functional PBE.

a b c (Å): 7.0573 7.0573 5.6078
angles (deg): 90.00 90.00 120.00
Closest atoms and distances in Å follow each position.
Space group P6_3/mcm (No. 193)
Symmetry-distinct sites (fractional):
Cu 0.0000 0.3325 0.2500 (multiplicity 6)  3 Si 2.33-2.37
Cu 0.3333 0.6667 0.0000 (multiplicity 4)  6 Si 2.72, 8 Cu 2.74-2.80
Si 0.0000 0.0000 0.0000 (multiplicity 2)  6 Cu 2.73, 8 Si 2.77-2.80
Si 0.0000 0.3380 0.7500 (multiplicity 6)  3 Cu 2.33-2.37

Energy above the most stable polymorph in this dataset, kJ/mol of formula units: 83.5
Mass density, g/cm3: 5.90
E_form (uncorrected), eV per atom: 0.225
Electronic total energy, eV/f.u.: -40.15

A relaxed Cu5Si3 crystal. Source: Alexandria via LeMat-Bulk, functional PBE.

a b c (Å): 6.5638 4.6784 7.4901
angles (deg): 90.00 112.10 90.00
Closest atoms and distances in Å follow each position.
Space group P2_1/m (No. 11)
Symmetry-distinct sites (fractional):
Cu 0.0015 0.2500 0.2606 (multiplicity 2)  5 Si 2.55-2.66, 6 Cu 2.56-2.67
Cu 0.1053 0.2500 0.6270 (multiplicity 2)  2 Si 2.36-2.40, 2 Cu 2.53-2.57
Cu 0.2962 0.7500 0.5959 (multiplicity 2)  4 Si 2.39-2.57, 4 Cu 2.53-2.63
Cu 0.3317 0.9998 0.1960 (multiplicity 4)  2 Cu 2.34, 6 Si 2.47-2.56
Si 0.0327 0.2500 0.9184 (multiplicity 2)  8 Cu 2.40-2.66
Si 0.3966 0.2500 0.5140 (multiplicity 2)  9 Cu 2.36-2.57
Si 0.4101 0.7500 0.9386 (multiplicity 2)  6 Cu 2.39-2.56, 2 Si 2.63

Energy above the most stable polymorph in this dataset, kJ/mol of formula units: 38.8
Mass density, g/cm3: 6.26
E_form (uncorrected), eV per atom: 0.099
Electronic total energy, eV/f.u.: -35.96